Entry from Alexandria: LiBeTl2 at its PBEsol-relaxed geometry (meta-GGA SCAN).

abc: 4.7673 4.7125 4.7673
angles: 59.61 90.00 120.39
Fractional coordinates of all 4 atoms:
Tl: 0.2500 0.5000 0.2500
Tl: 0.7500 0.5000 0.7500
Li: 0.0000 0.0000 0.0000
Be: 0.5000 0.0000 0.5000

Summary:
- magnetic moment (μB/atom) = 0.00
- energy of formation (eV/atom) = 0.169
- DFT total energy (eV/atom) = -37.696
- energy above the most stable polymorph in this dataset (meV/atom) = 0.0

---

Entry from Alexandria: LiBeTl2 at its PBEsol-relaxed geometry (meta-GGA SCAN).

abc: 3.5119 4.0162 5.4218
angles: 90.00 90.00 90.00
Fractional coordinates of all 4 atoms:
Tl: 0.5000 0.5000 0.2932
Tl: 0.0000 0.0000 0.9621
Be: 0.0000 0.0000 0.4795
Li: 0.5000 0.5000 0.7652

Summary:
- magnetic moment (μB/atom) = 0.00
- energy of formation (eV/atom) = 0.214
- DFT total energy (eV/atom) = -37.651
- energy above the most stable polymorph in this dataset (meV/atom) = 44.3

---

Entry from Alexandria: LiBeTl2 at its PBEsol-relaxed geometry (meta-GGA SCAN).

abc: 4.0184 4.0184 5.5644
angles: 111.17 111.17 90.00
Fractional coordinates of all 4 atoms:
Be: 0.5000 0.5000 0.0000
Tl: 0.7500 0.2500 0.5000
Tl: 0.0000 0.0000 0.0000
Li: 0.2500 0.7500 0.5000

Summary:
- magnetic moment (μB/atom) = 0.00
- energy of formation (eV/atom) = 0.241
- DFT total energy (eV/atom) = -37.624
- energy above the most stable polymorph in this dataset (meV/atom) = 71.9

---

Entry from Alexandria: LiBeTl2 at its PBEsol-relaxed geometry (meta-GGA SCAN).

abc: 3.2279 5.2790 5.2790
angles: 104.80 104.81 104.81
Fractional coordinates of all 4 atoms:
Be: 0.5000 0.5000 0.5000
Li: 0.5000 0.0000 0.0000
Tl: 0.0000 0.5000 0.0000
Tl: 0.0000 0.0000 0.5000

Summary:
- magnetic moment (μB/atom) = 0.00
- energy of formation (eV/atom) = 0.265
- DFT total energy (eV/atom) = -37.600
- energy above the most stable polymorph in this dataset (meV/atom) = 95.2

---

Entry from Alexandria: LiBe2Tl at its PBEsol-relaxed geometry (meta-GGA SCAN).

abc: 4.1807 4.1807 9.0394
angles: 103.37 103.37 90.00
Fractional coordinates of all 8 atoms:
Li: 0.5000 0.5000 0.0000
Li: 0.7500 0.2500 0.5000
Tl: 0.2500 0.7500 0.5000
Tl: 0.0000 0.0000 0.0000
Be: 0.1250 0.8750 0.7500
Be: 0.6250 0.8750 0.7500
Be: 0.1250 0.3750 0.2500
Be: 0.1250 0.8750 0.2500

Summary:
- magnetic moment (μB/atom) = 0.00
- energy of formation (eV/atom) = 0.486
- DFT total energy (eV/atom) = -20.378
- energy above the most stable polymorph in this dataset (meV/atom) = 193.7

---

Entry from Alexandria: LiBeW at its PBEsol-relaxed geometry (meta-GGA SCAN).

abc: 2.6778 3.8780 3.8780
angles: 120.00 90.00 90.00
Fractional coordinates of all 3 atoms:
W: 0.3337 0.3333 0.6667
Li: 0.8357 0.6667 0.3333
Be: 0.8306 0.0000 0.0000

Summary:
- magnetic moment (μB/atom) = 0.00
- energy of formation (eV/atom) = 0.644
- DFT total energy (eV/atom) = -24.833

---

Entry from Alexandria: Li2BeW at its PBEsol-relaxed geometry (meta-GGA SCAN).

abc: 2.4321 4.4093 5.4526
angles: 113.85 102.89 90.00
Fractional coordinates of all 4 atoms:
Be: 0.5000 0.0000 0.0000
W: 0.0000 0.5000 0.0000
Li: 0.2187 0.2187 0.4375
Li: 0.7813 0.7813 0.5625

Summary:
- magnetic moment (μB/atom) = 0.01
- energy of formation (eV/atom) = 0.383
- DFT total energy (eV/atom) = -19.322

---

Entry from Alexandria: Li2YBe2 at its PBEsol-relaxed geometry (meta-GGA SCAN).

abc: 4.3740 4.3740 5.1124
angles: 115.33 115.33 90.00
Fractional coordinates of all 5 atoms:
Li: 0.3648 0.3648 0.7296
Li: 0.6352 0.6352 0.2704
Be: 0.7500 0.2500 0.5000
Be: 0.2500 0.7500 0.5000
Y: 0.0000 0.0000 0.0000

Summary:
- magnetic moment (μB/atom) = 0.00
- energy of formation (eV/atom) = 0.283
- DFT total energy (eV/atom) = -7.983

---

Entry from Alexandria: LiY2Be at its PBEsol-relaxed geometry (meta-GGA SCAN).

abc: 4.1689 4.1689 5.7531
angles: 111.24 111.24 90.00
Fractional coordinates of all 4 atoms:
Y: 0.0000 0.0000 0.0000
Y: 0.7500 0.2500 0.5000
Li: 0.2500 0.7500 0.5000
Be: 0.5000 0.5000 0.0000

Summary:
- magnetic moment (μB/atom) = 0.00
- energy of formation (eV/atom) = 0.315
- DFT total energy (eV/atom) = -15.292

---

Entry from Alexandria: Li2YBe at its PBEsol-relaxed geometry (meta-GGA SCAN).

abc: 3.2110 4.7158 5.9546
angles: 112.67 104.72 92.26
Site moments in Bohr magnetons follow the coordinates.
Fractional coordinates of all 4 atoms:
Li: 0.5000 0.5000 0.5000  0.02
Li: 0.0000 0.0000 0.5000  0.02
Be: 0.0000 0.5000 0.0000  0.00
Y: 0.5000 0.0000 0.0000  0.15

Summary:
- magnetic moment (μB/atom) = 0.11
- energy of formation (eV/atom) = 0.354
- DFT total energy (eV/atom) = -8.890

---

Entry from Alexandria: Li2YBe at its PBEsol-relaxed geometry (meta-GGA SCAN).

abc: 4.6726 4.6729 4.6726
angles: 120.00 90.00 120.00
Site moments in Bohr magnetons follow the coordinates.
Fractional coordinates of all 4 atoms:
Y: 0.5000 0.0000 0.5000  0.28
Li: 0.0000 0.0000 0.0000  0.02
Li: 0.7500 0.5000 0.2500  0.02
Be: 0.2500 0.5000 0.7500  0.09

Summary:
- magnetic moment (μB/atom) = 0.23
- energy of formation (eV/atom) = 0.230
- DFT total energy (eV/atom) = -9.014

---

Entry from Alexandria: Li2YBe at its PBEsol-relaxed geometry (meta-GGA SCAN).

abc: 3.1574 4.8344 5.7498
angles: 114.86 105.94 90.00
Site moments in Bohr magnetons follow the coordinates.
Fractional coordinates of all 4 atoms:
Be: 0.0000 0.5000 0.0000  0.00
Y: 0.5000 0.0000 0.0000  0.07
Li: 0.2932 0.2932 0.5864  0.01
Li: 0.7068 0.7068 0.4136  0.01

Summary:
- magnetic moment (μB/atom) = 0.04
- energy of formation (eV/atom) = 0.213
- DFT total energy (eV/atom) = -9.031

---

What is the DFT total energy in the seventh record?
-19.322 eV/atom